{
  "formula": "LaTi2Cu",
  "functional": "PBE",
  "state": "optimized geometry",
  "lattice_angstrom": [[4.030, 0.000, 0.000], [0.000, 4.030, 0.000], [2.015, 2.015, 10.144]],
  "species": ["Ti", "Ti", "Ti", "Ti", "Cu", "Cu", "La", "La"],
  "frac_coords": [[0.605, 0.125, 0.250], [0.145, 0.625, 0.250], [0.375, 0.395, 0.750], [0.875, 0.855, 0.750], [0.500, 0.500, 0.000], [0.250, 0.750, 0.500], [0.000, 0.000, 0.000], [0.750, 0.250, 0.500]],
  "vol_a3_per_atom": 20.591,
  "sg": "No. 122",
  "n_ef_per_ev_cell": 8.76,
  "e_tot_ev_per_atom": -5.7864,
  "relative_energy_mev_per_atom": 61
}